This record from Alexandria via LeMat-Bulk describes Ac6Pt2RhS3 after structural relaxation. The functional is PBE.

Structure (POSCAR):
```
Ac6Pt2RhS3
1.0
4.282 0.000 0.000
0.000 9.059 -0.018
-2.141 -2.966 9.323
Ac S Pt Rh
6 3 2 1
Cartesian
0.000 2.141 0.034 Ac
0.000 1.869 6.174 Ac
2.141 3.952 9.271 Ac
2.141 4.224 3.131 Ac
2.141 -0.160 3.006 Ac
0.000 6.253 6.299 Ac
2.141 -0.466 6.213 S
2.141 4.529 -0.009 S
0.000 6.559 3.091 S
2.141 4.056 6.194 Pt
0.000 2.037 3.111 Pt
2.141 0.000 0.000 Rh
```

E	-6.175	eV/atom
DOS(E_F)	6.3	states/eV/f.u.